This record from Alexandria describes a relaxed structure of TiCuS3. The functional is PBE.

- electronic total energy (eV/atom) = -4.594
- ΔE_f (raw) (eV per atom) = 0.28

Unit cell a=4.4402 b=4.4402 c=4.4402 alpha=90.00 beta=90.00 gamma=90.00
Space group Pm-3m (No. 221)
Inequivalent atoms, fractional coordinates:
Ti1 0.0000 0.0000 0.0000 (multiplicity 1)
Cu1 0.5000 0.5000 0.5000 (multiplicity 1)
S1 0.0000 0.5000 0.5000 (multiplicity 3)



This record from Alexandria describes a relaxed structure of TiCu2S. The functional is PBE.

- electronic total energy (eV/atom) = -5.243
- ΔE_f (raw) (eV per atom) = -0.19

Unit cell a=7.0217 b=7.0217 c=4.7354 alpha=90.00 beta=90.00 gamma=90.00
Space group I-42d (No. 122)
Inequivalent atoms, fractional coordinates:
Ti1 0.0000 0.0000 0.0000 (multiplicity 4)
Cu1 0.2072 0.2500 0.6250 (multiplicity 8)
S1 0.0000 0.0000 0.5000 (multiplicity 4)



This record from Alexandria describes a relaxed structure of TiCu2S4. The functional is PBE.

- electronic total energy (eV/atom) = -4.822
- excess energy over the best structure of this formula in the dataset (eV per atom) = 0.448
- ΔE_f (raw) (eV per atom) = -0.17

Unit cell a=4.7829 b=4.7829 c=11.4189 alpha=90.00 beta=90.00 gamma=90.00
Space group I4/mmm (No. 139)
Inequivalent atoms, fractional coordinates:
Ti1 0.0000 0.0000 0.0000 (multiplicity 2)
Cu1 0.0000 0.0000 0.3957 (multiplicity 4)
S1 0.0000 0.0000 0.2066 (multiplicity 4)
S2 0.0000 0.5000 0.0000 (multiplicity 4)